A plane-wave DFT calculation with GGA+U was carried out for a relaxed structure of FeAgSe2O8.

```
FeAgSe2O8
1.0
-1.880 -2.503 3.733
2.306 -3.941 1.697
4.155 2.376 6.864
O Se Ag Fe
8 2 1 1
Direct
0.037 0.377 0.851 O
0.266 0.963 0.149 O
0.963 0.623 0.149 O
0.377 0.734 0.851 O
0.808 0.808 0.575 O
0.192 0.192 0.425 O
0.734 0.037 0.851 O
0.623 0.266 0.149 O
0.262 0.262 0.215 Se
0.738 0.738 0.785 Se
0.500 0.500 0.500 Ag
0.000 0.000 0.000 Fe
```

Calculated density   4.61 g/cm3
Calculated total energy   -61.5 eV per cell
Symmetry   R-3